[1]
Below is a geometry-optimized Ca2ScNiOs structure, with properties calculated at the PBE-GGA level.

Lattice parameters (Å, degrees): 5.4368 5.4368 4.8916 90.00 90.00 90.00
Last column: nearest neighbours and their distance in Å.
Space group P4/mmm (No. 123)
Asymmetric unit:
Ca1 0.0000 0.5000 0.0000 x2  2 Os 2.72
Sc1 0.0000 0.0000 0.5000 x1  2 Os 2.45
Ni1 0.5000 0.5000 0.5000 x1  8 Ca 3.66, 4 Sc 3.84
Os1 0.0000 0.0000 0.0000 x1  2 Sc 2.45, 4 Ca 2.72

Properties
Size of the total moment in μB per atom: 0.000
Theoretical density in g/cm³: 4.3

[2]
Below is a geometry-optimized CaThNiOs structure, with properties calculated at the PBE-GGA level.

Lattice parameters (Å, degrees): 6.9217 6.9217 6.9217 90.00 90.00 90.00
Last column: nearest neighbours and their distance in Å.
Space group F-43m (No. 216)
Asymmetric unit:
Ca1 0.0000 0.0000 0.0000 x4  4 Ni 3.00, 4 Os 3.00
Th1 0.0000 0.0000 0.5000 x4  4 Os 3.00, 4 Ni 3.00
Ni1 0.2500 0.2500 0.7500 x4  4 Th 3.00, 4 Ca 3.00
Os1 0.2500 0.2500 0.2500 x4  4 Th 3.00, 4 Ca 3.00

Properties
Size of the total moment in μB per atom: 0.000
Theoretical density in g/cm³: 10.4

[3]
Below is a geometry-optimized CaV2NiOs structure, with properties calculated at the PBE-GGA level.

Lattice parameters (Å, degrees): 4.4649 4.4649 4.7025 90.00 90.00 90.00
Last column: nearest neighbours and their distance in Å.
Space group P4/mmm (No. 123)
Asymmetric unit:
Ca1 0.0000 0.0000 0.0000 x1  4 Os 3.16, 8 V 3.24
V1 0.0000 0.5000 0.5000 x2  2 Ni 2.23
Ni1 0.5000 0.5000 0.5000 x1  4 V 2.23, 2 Os 2.35
Os1 0.5000 0.5000 0.0000 x1  2 Ni 2.35

Properties
Size of the total moment in μB per atom: 0.615
Theoretical density in g/cm³: 6.9

[4]
Below is a geometry-optimized Ca2Ni6P3 structure, with properties calculated at the PBE-GGA level.

Lattice parameters (Å, degrees): 6.8183 6.8183 3.9142 90.00 90.00 120.00
Last column: nearest neighbours and their distance in Å.
Space group P-62m (No. 189)
Asymmetric unit:
Ca1 0.3333 0.6667 0.0000 x2  9 Ni 2.83-3.11, 6 P 2.93
Ni1 0.0000 0.2026 0.0000 x3  2 P 2.24, 2 Ni 2.39
Ni2 0.0000 0.7045 0.5000 x3  3 P 2.28-2.34
P1 0.0000 0.3619 0.5000 x3  5 Ni 2.24-2.34

Properties
Size of the total moment in μB per atom: 0.000
Theoretical density in g/cm³: 5.5

[5]
Below is a geometry-optimized CaNiP2 structure, with properties calculated at the PBE-GGA level.

Lattice parameters (Å, degrees): 4.5612 4.5612 14.8391 90.00 90.00 90.00
Last column: nearest neighbours and their distance in Å.
Space group I-42d (No. 122)
Asymmetric unit:
Ca1 0.0000 0.0000 0.0000 x4  4 P 2.87
Ni1 0.0000 0.0000 0.5000 x4  4 P 2.21
P1 0.0890 0.2500 0.6250 x8  2 Ni 2.21, 2 P 2.42

Properties
Size of the total moment in μB per atom: 0.000
Theoretical density in g/cm³: 3.5

[6]
Below is a geometry-optimized CaNiP2 structure, with properties calculated at the PBE-GGA level.

Lattice parameters (Å, degrees): 3.2613 3.2613 6.2366 90.00 90.00 90.00
Last column: nearest neighbours and their distance in Å.
Space group P4mm (No. 99)
Asymmetric unit:
Ca1 0.0000 0.0000 0.0000 x1  5 P 2.89-2.97
Ni1 0.5000 0.5000 0.3670 x1  5 P 2.20-2.41
P1 0.0000 0.0000 0.4769 x1  4 Ni 2.41
P2 0.5000 0.5000 0.7202 x1  1 Ni 2.20

Properties
Size of the total moment in μB per atom: 0.000
Theoretical density in g/cm³: 4.0

Number 1: formation energy 58.0 kJ per mole of atoms. Number 2: formation energy -6.6 kJ per mole of atoms. Number 3: formation energy 86.1 kJ per mole of atoms. Number 4: formation energy -63.4 kJ per mole of atoms. Number 5: formation energy -55.3 kJ per mole of atoms. Number 6: formation energy -21.7 kJ per mole of atoms.